1.
Nb5S4: optimized geometry, PBE.

Output
The space-group type is C2/m, No. 12. The energy relative to the elements, uncorrected comes out at -0.496 eV per atom. The calculated volume comes out at 153 Å³/f.u. The size of the total moment comes out at 0.00 Bohr magnetons per cell.

Geometry as POSCAR:
```
Nb5S4
1.0
5.911 -4.140 0.000
5.911 4.140 0.000
-0.137 0.000 3.134
Nb S
5 4
direct
0.000 0.000 0.000
0.299 0.299 0.497
0.344 0.656 0.000
0.656 0.344 0.000
0.701 0.701 0.503
0.062 0.679 0.477
0.321 0.938 0.523
0.679 0.062 0.477
0.938 0.321 0.523
```

---

2.
NaP2RuO8: optimized geometry, PBE.

Output
The space-group type is I-4m2, No. 119. The energy relative to the elements, uncorrected comes out at -1.460 eV per atom. The calculated volume comes out at 131 Å³/f.u. The size of the total moment comes out at 2.31 Bohr magnetons per cell.

Geometry as POSCAR:
```
NaP2RuO8
1.0
-3.346 3.346 2.914
3.346 -3.346 2.914
3.346 3.346 -2.914
Na P Ru O
1 2 1 8
direct
0.000 0.000 0.000
0.500 0.500 0.000
0.750 0.250 0.500
0.250 0.750 0.500
0.337 0.152 0.815
0.337 0.522 0.185
0.400 0.074 0.326
0.478 0.663 0.815
0.747 0.074 0.674
0.848 0.663 0.185
0.926 0.253 0.326
0.926 0.600 0.674
```

---

3.
HfTcRu3: optimized geometry, PBE.

Output
The space-group type is Pm-3m, No. 221. The value obtained for the energy relative to the lowest polymorph listed for this composition is 866 meV/atom. The calculated volume comes out at 100 Å³/f.u. The size of the total moment comes out at 0.03 Bohr magnetons per cell. As for the formation energy: 45.170 kcal/mol of atoms.

Geometry as POSCAR:
```
HfTcRu3
1.0
4.635 0.000 0.000
0.000 4.635 0.000
0.000 0.000 4.635
Hf Tc Ru
1 1 3
direct
0.000 0.000 0.000
0.500 0.500 0.500
0.000 0.000 0.500
0.000 0.500 0.000
0.500 0.000 0.000
```

---

no.,DFT total energy (eV/cell)
1,-71.32
2,-78.60
3,-38.35